# BaMgSnPd PBE-GGA optimized geometry
# SG: F-43m
# E_tot in eV/atom: -3.429
# E above lowest polymorph in eV/atom: 0.054
# Mass density in Mg/m³: 6.0
data_BaMgSnPd
_cell_length_a 5.340
_cell_length_b 5.340
_cell_length_c 5.340
_cell_angle_alpha 60.00
_cell_angle_beta 60.00
_cell_angle_gamma 60.00
_space_group_name_H-M_alt 'P 1'
_space_group_IT_number 1
loop_
_space_group_symop_operation_xyz
'x,y,z'
loop_
_atom_site_label
_atom_site_type_symbol
_atom_site_fract_x
_atom_site_fract_y
_atom_site_fract_z
Ba1 Ba 0.250 0.250 0.250
Mg1 Mg 0.750 0.750 0.750
Pd1 Pd 0.500 0.500 0.500
Sn1 Sn 0.000 0.000 0.000